VASP calculation (GGA-PBE) on Mn2AgW after structural relaxation.

Computed properties:
Density of states at the Fermi level, states/eV per atom: 1.0022
Energy of formation, eV per formula unit: 1.33

Cell lengths 3.244, 4.394, 8.538 Å; angles 90.00, 90.00, 90.00 degrees
Space group Cmmm (No. 65)
Asymmetric unit:
Mn: 0.000 0.000 0.236 [4 per cell]
Ag: 0.000 0.500 0.500 [2 per cell]
W: 0.000 0.500 0.000 [2 per cell]

VASP calculation (GGA-PBE) on RbMn3Cu after structural relaxation.

Computed properties:
Density of states at the Fermi level, states/eV per atom: 0.7766
Energy of formation, eV per formula unit: 12.55

Cell lengths 4.914, 4.914, 4.914 Å; angles 90.00, 90.00, 90.00 degrees
Space group Pm-3m (No. 221)
Asymmetric unit:
Rb: 0.000 0.000 0.000 [1 per cell]
Mn: 0.000 0.000 0.500 [3 per cell]
Cu: 0.500 0.500 0.500 [1 per cell]

VASP calculation (GGA-PBE) on TiCdSb2O8 after structural relaxation.

Computed properties:
Formation energy (no corrections), eV per atom: -1.72

Cell lengths 6.676, 7.006, 6.347 Å; angles 90.00, 90.00, 90.00 degrees
Space group Cmmm (No. 65)
Asymmetric unit:
Ti: 0.000 0.000 0.000 [2 per cell]
Cd: 0.000 0.000 0.500 [2 per cell]
Sb: 0.000 0.500 0.246 [4 per cell]
O: 0.000 0.305 0.000 [4 per cell]
O: 0.000 0.322 0.500 [4 per cell]
O: 0.204 0.000 0.217 [8 per cell]

VASP calculation (GGA-PBE) on FeAgP2S after structural relaxation.

Computed properties:
Formation energy (no corrections), eV per atom: 0.46
Density of states at the Fermi level, states/eV per atom: 0.7184

Cell lengths 4.161, 4.161, 5.251 Å; angles 90.00, 90.00, 90.00 degrees
Space group P4/mmm (No. 123)
Asymmetric unit:
Fe: 0.000 0.000 0.000 [1 per cell]
Ag: 0.500 0.500 0.500 [1 per cell]
P: 0.000 0.500 0.000 [2 per cell]
S: 0.000 0.000 0.500 [1 per cell]

VASP calculation (GGA-PBE) on Nd3SbO after structural relaxation.

Computed properties:
Formation energy (no corrections), eV per atom: -1.49
Density of states at the Fermi level, states/eV per atom: 0.4292

Cell lengths 3.983, 6.498, 10.954 Å; angles 73.96, 79.55, 72.17 degrees
Space group P-1 (No. 2)
Asymmetric unit:
Nd: 0.125 0.430 0.322 [2 per cell]
Nd: 0.150 0.820 0.880 [2 per cell]
Nd: 0.357 0.876 0.409 [2 per cell]
Sb: 0.437 0.255 0.869 [2 per cell]
O: 0.255 0.845 0.645 [2 per cell]

VASP calculation (GGA-PBE) on Pr5NdTm5 after structural relaxation.

Computed properties:
Density of states at the Fermi level, states/eV per atom: 1.5638
Energy of formation, eV per formula unit: 2.83

Cell lengths 19.050, 6.006, 7.075 Å; angles 90.00, 111.71, 90.00 degrees
Space group C2/m (No. 12)
Asymmetric unit:
Pr: 0.000 0.000 0.000 [2 per cell]
Pr: 0.177 0.500 0.421 [4 per cell]
Pr: 0.177 0.500 0.933 [4 per cell]
Nd: 0.000 0.500 0.000 [2 per cell]
Tm: 0.000 0.500 0.500 [2 per cell]
Tm: 0.121 0.000 0.622 [4 per cell]
Tm: 0.169 0.000 0.170 [4 per cell]